Here is BeCo2SO after structural relaxation from the Alexandria database. Energies are from PBE+U.

Lattice parameters (Å, degrees): 4.502 4.502 3.005 90.00 90.00 90.00
Space group P4/mmm (No. 123)
Inequivalent atoms, fractional coordinates:
Be 0.000 0.000 0.000
Co 0.000 0.500 0.000
S 0.500 0.500 0.500
O 0.000 0.000 0.500

Results
M_tot (Bohr magnetons per cell): 4.0
DOS(E_F) (states/eV/f.u.): 0.32
VASP energy (eV per atom): -4.688